BaNaAu3: optimized geometry, GGA-PBE.

Values from the calculation:
offset from the most stable computed form	0.627	eV per atom
formation enthalpy at 0 K	0.08	eV/atom
total DFT energy (no corrections)	-2.532	eV per atom

Cell lengths 6.1939, 6.1939, 6.1939 Å; angles 90.00, 90.00, 90.00 degrees
Space group Pm-3m (No. 221)
One atom of each set of equivalent atoms:
1 Ba 0.0000 0.0000 0.0000 x1
2 Na 0.5000 0.5000 0.5000 x1
3 Au 0.0000 0.0000 0.5000 x3



La2SbS: optimized geometry, GGA-PBE.

Values from the calculation:
offset from the most stable computed form	0.315	eV per atom
total DFT energy (no corrections)	-5.896	eV per atom

Cell lengths 7.5999, 7.5999, 7.5999 Å; angles 90.00, 90.00, 90.00 degrees
Space group Fm-3m (No. 225)
One atom of each set of equivalent atoms:
1 La 0.2500 0.2500 0.2500 x8
2 Sb 0.0000 0.0000 0.0000 x4
3 S 0.0000 0.0000 0.5000 x4



Li3Zn8Ag3: optimized geometry, GGA-PBE.

Values from the calculation:
formation enthalpy at 0 K	-0.07	eV/atom
total DFT energy (no corrections)	-1.823	eV per atom

Cell lengths 4.3768, 8.4557, 11.8602 Å; angles 90.00, 90.00, 90.00 degrees
Space group Immm (No. 71)
One atom of each set of equivalent atoms:
1 Li 0.0000 0.0000 0.0000 x2
2 Li 0.0000 0.3100 0.0000 x4
3 Zn 0.0000 0.1595 0.2164 x8
4 Zn 0.0000 0.3326 0.3969 x8
5 Ag 0.0000 0.0000 0.5000 x2
6 Ag 0.0000 0.5000 0.1851 x4



La3Pr2Tm2: optimized geometry, GGA-PBE.

Values from the calculation:
offset from the most stable computed form	0.000	eV per atom
formation enthalpy at 0 K	0.02	eV/atom
total DFT energy (no corrections)	-4.733	eV per atom

Cell lengths 12.1205, 3.6796, 10.9440 Å; angles 90.00, 96.01, 90.00 degrees
Space group C2/m (No. 12)
One atom of each set of equivalent atoms:
1 La 0.0000 0.0000 0.0000 x2
2 La 0.1429 0.0000 0.5699 x4
3 Pr 0.2169 0.5000 0.8554 x4
4 Tm 0.0708 0.5000 0.2859 x4



LiErAsPd: optimized geometry, GGA-PBE.

Values from the calculation:
formation enthalpy at 0 K	-0.81	eV/atom
total DFT energy (no corrections)	-4.894	eV per atom

Cell lengths 6.6798, 6.6798, 6.6798 Å; angles 90.00, 90.00, 90.00 degrees
Space group F-43m (No. 216)
One atom of each set of equivalent atoms:
1 Li 0.0000 0.0000 0.0000 x4
2 Er 0.0000 0.0000 0.5000 x4
3 As 0.2500 0.2500 0.7500 x4
4 Pd 0.2500 0.2500 0.2500 x4



La2MgZr: optimized geometry, GGA-PBE.

Values from the calculation:
formation enthalpy at 0 K	0.12	eV/atom
total DFT energy (no corrections)	-4.884	eV per atom

Cell lengths 5.0368, 5.0368, 9.2930 Å; angles 90.00, 90.00, 90.00 degrees
Space group I4/mmm (No. 139)
One atom of each set of equivalent atoms:
1 La 0.0000 0.5000 0.2500 x4
2 Mg 0.0000 0.0000 0.0000 x2
3 Zr 0.0000 0.0000 0.5000 x2



ErAl2Cu4: optimized geometry, GGA-PBE.

Values from the calculation:
offset from the most stable computed form	0.575	eV per atom
formation enthalpy at 0 K	0.23	eV/atom
total DFT energy (no corrections)	-3.834	eV per atom

Cell lengths 7.2116, 7.2116, 5.3098 Å; angles 90.00, 90.00, 90.00 degrees
Space group I4/mmm (No. 139)
One atom of each set of equivalent atoms:
1 Er 0.0000 0.0000 0.0000 x2
2 Al 0.0000 0.5000 0.2500 x4
3 Cu 0.0000 0.2262 0.5000 x8



NaAg2BiH: optimized geometry, GGA-PBE.

Values from the calculation:
offset from the most stable computed form	1.120	eV per atom
total DFT energy (no corrections)	-1.659	eV per atom

Cell lengths 5.1996, 5.1996, 5.5285 Å; angles 90.00, 90.00, 90.00 degrees
Space group P4/mmm (No. 123)
One atom of each set of equivalent atoms:
1 Na 0.0000 0.0000 0.0000 x1
2 Ag 0.0000 0.5000 0.0000 x2
3 Bi 0.0000 0.0000 0.5000 x1
4 H 0.5000 0.5000 0.5000 x1



ZrSiAu2: optimized geometry, GGA-PBE.

Values from the calculation:
total DFT energy (no corrections)	-5.463	eV per atom

Cell lengths 2.9974, 4.5529, 5.3904 Å; angles 90.00, 92.12, 90.00 degrees
Space group P2/m (No. 10)
One atom of each set of equivalent atoms:
1 Zr 0.0000 0.0000 0.0000 x1
2 Si 0.5000 0.0000 0.5000 x1
3 Au 0.4903 0.5000 0.7513 x2



TmBe: optimized geometry, GGA-PBE.

Values from the calculation:
offset from the most stable computed form	0.000	eV per atom
formation enthalpy at 0 K	0.07	eV/atom
total DFT energy (no corrections)	-4.032	eV per atom

Cell lengths 3.5131, 3.9992, 5.8386 Å; angles 90.00, 107.37, 90.00 degrees
Space group P2_1/m (No. 11)
One atom of each set of equivalent atoms:
1 Tm 0.1459 0.2500 0.2923 x2
2 Be 0.4484 0.2500 0.8970 x2



NpMnRh2: optimized geometry, GGA-PBE.

Values from the calculation:
offset from the most stable computed form	0.097	eV per atom
formation enthalpy at 0 K	-0.25	eV/atom
total DFT energy (no corrections)	-9.453	eV per atom

Cell lengths 6.4695, 6.4695, 6.4695 Å; angles 90.00, 90.00, 90.00 degrees
Space group Fm-3m (No. 225)
One atom of each set of equivalent atoms:
1 Np 0.0000 0.0000 0.0000 x4
2 Mn 0.0000 0.0000 0.5000 x4
3 Rh 0.2500 0.2500 0.2500 x8



Ca2In6IrRh: optimized geometry, GGA-PBE.

Values from the calculation:
formation enthalpy at 0 K	-0.20	eV/atom
total DFT energy (no corrections)	-3.867	eV per atom

Cell lengths 10.3160, 10.3160, 10.3160 Å; angles 90.00, 90.00, 90.00 degrees
Space group Fm-3m (No. 225)
One atom of each set of equivalent atoms:
1 Ca 0.2500 0.2500 0.2500 x8
2 In 0.0000 0.0000 0.2488 x24
3 Ir 0.0000 0.0000 0.5000 x4
4 Rh 0.0000 0.0000 0.0000 x4



Rb3Sc3SnSe8: optimized geometry, GGA-PBE.

Values from the calculation:
total DFT energy (no corrections)	-4.939	eV per atom

Cell lengths 13.8027, 7.9692, 9.3410 Å; angles 90.00, 119.51, 90.00 degrees
Space group C2/m (No. 12)
One atom of each set of equivalent atoms:
1 Rb 0.0000 0.0000 0.0000 x2
2 Rb 0.2500 0.2500 0.0000 x4
3 Sc 0.0000 0.5000 0.5000 x2
4 Sc 0.2500 0.2500 0.5000 x4
5 Sn 0.0000 0.0000 0.5000 x2
6 Se 0.0218 0.2527 0.3134 x8
7 Se 0.2288 0.5000 0.6851 x4
8 Se 0.2305 0.0000 0.6864 x4



Pm15Dy4Sc: optimized geometry, GGA-PBE.

Values from the calculation:
formation enthalpy at 0 K	0.02	eV/atom
total DFT energy (no corrections)	-4.782	eV per atom

Cell lengths 5.1103, 5.1103, 25.4661 Å; angles 90.00, 90.00, 90.00 degrees
Space group P4/mmm (No. 123)
One atom of each set of equivalent atoms:
1 Pm 0.0000 0.0000 0.0000 x1
2 Pm 0.0000 0.0000 0.1975 x2
3 Pm 0.0000 0.0000 0.3992 x2
4 Pm 0.0000 0.5000 0.0969 x4
5 Pm 0.0000 0.5000 0.2984 x4
6 Pm 0.0000 0.5000 0.5000 x2
7 Dy 0.5000 0.5000 0.1976 x2
8 Dy 0.5000 0.5000 0.3992 x2
9 Sc 0.5000 0.5000 0.0000 x1



KHfB: optimized geometry, GGA-PBE.

Values from the calculation:
offset from the most stable computed form	1.114	eV per atom
formation enthalpy at 0 K	1.04	eV/atom
total DFT energy (no corrections)	-4.865	eV per atom

Cell lengths 4.8296, 4.8296, 5.1869 Å; angles 90.00, 90.00, 120.00 degrees
Space group P6_3mc (No. 186)
One atom of each set of equivalent atoms:
1 K 0.0000 0.0000 0.0000 x2
2 Hf 0.3333 0.6667 0.3256 x2
3 B 0.3333 0.6667 0.8081 x2



AcTmNiRu: optimized geometry, GGA-PBE.

Values from the calculation:
formation enthalpy at 0 K	-0.17	eV/atom
total DFT energy (no corrections)	-6.081	eV per atom

Cell lengths 7.0363, 7.0363, 7.0363 Å; angles 90.00, 90.00, 90.00 degrees
Space group F-43m (No. 216)
One atom of each set of equivalent atoms:
1 Ac 0.0000 0.0000 0.0000 x4
2 Tm 0.0000 0.0000 0.5000 x4
3 Ni 0.2500 0.2500 0.2500 x4
4 Ru 0.2500 0.2500 0.7500 x4



Sr2LaSi: optimized geometry, GGA-PBE.

Values from the calculation:
total DFT energy (no corrections)	-3.463	eV per atom

Cell lengths 3.7041, 3.7041, 10.4650 Å; angles 90.00, 90.00, 90.00 degrees
Space group P4/mmm (No. 123)
One atom of each set of equivalent atoms:
1 Sr 0.0000 0.0000 0.1844 x2
2 La 0.5000 0.5000 0.5000 x1
3 Si 0.5000 0.5000 0.0000 x1



HfCo6H3: optimized geometry, GGA-PBE.

Values from the calculation:
total DFT energy (no corrections)	-6.123	eV per atom

Cell lengths 5.1295, 5.1295, 12.8353 Å; angles 90.00, 90.00, 120.00 degrees
Space group R3 (No. 146, hexagonal axes)
One atom of each set of equivalent atoms:
1 Hf 0.0000 0.0000 0.0000 x3
2 Co 0.0864 0.3429 0.8345 x9
3 Co 0.1552 0.8206 0.3374 x9
4 H 0.0000 0.0000 0.2606 x3
5 H 0.0000 0.0000 0.5978 x3
6 H 0.0000 0.0000 0.7653 x3



RbCuPbCl6: optimized geometry, GGA-PBE.

Values from the calculation:
total DFT energy (no corrections)	-3.159	eV per atom

Cell lengths 6.6996, 6.7011, 6.9506 Å; angles 98.92, 98.95, 105.88 degrees
Space group P1 (No. 1)
One atom of each set of equivalent atoms:
1 Rb 0.0000 0.0000 0.0000 x1
2 Cu 0.2549 0.7435 0.5006 x1
3 Pb 0.6103 0.3893 0.5004 x1
4 Cl 0.2986 0.5018 0.2570 x1
5 Cl 0.3094 0.0934 0.6209 x1
6 Cl 0.4976 0.7006 0.7439 x1
7 Cl 0.5834 0.0863 0.2061 x1
8 Cl 0.9056 0.6910 0.3797 x1
9 Cl 0.9143 0.4171 0.7944 x1



LaTaAs2Se: optimized geometry, GGA-PBE.

Values from the calculation:
offset from the most stable computed form	0.000	eV per atom
total DFT energy (no corrections)	-6.558	eV per atom

Cell lengths 4.9855, 4.9855, 5.0946 Å; angles 90.00, 90.00, 90.00 degrees
Space group P4/mmm (No. 123)
One atom of each set of equivalent atoms:
1 La 0.0000 0.0000 0.0000 x1
2 Ta 0.5000 0.5000 0.5000 x1
3 As 0.0000 0.5000 0.5000 x2
4 Se 0.5000 0.5000 0.0000 x1



Tc2NiRh: optimized geometry, GGA-PBE.

Values from the calculation:
offset from the most stable computed form	0.000	eV per atom
formation enthalpy at 0 K	-0.09	eV/atom
total DFT energy (no corrections)	-8.552	eV per atom

Cell lengths 2.6832, 4.2821, 4.7112 Å; angles 90.00, 90.00, 90.00 degrees
Space group Pmm2 (No. 25)
One atom of each set of equivalent atoms:
1 Tc 0.0000 0.0000 0.0000 x1
2 Tc 0.0000 0.5000 0.3242 x1
3 Ni 0.5000 0.5000 0.8300 x1
4 Rh 0.5000 0.0000 0.5136 x1



ZnHg4Mo: optimized geometry, GGA-PBE.

Values from the calculation:
formation enthalpy at 0 K	0.80	eV/atom
total DFT energy (no corrections)	-1.421	eV per atom

Cell lengths 8.2256, 8.2256, 8.2256 Å; angles 90.00, 90.00, 90.00 degrees
Space group F-43m (No. 216)
One atom of each set of equivalent atoms:
1 Zn 0.0000 0.0000 0.0000 x4
2 Hg 0.1248 0.1248 0.6248 x16
3 Mo 0.2500 0.2500 0.2500 x4



CaTi4O8: optimized geometry, GGA-PBE.

Values from the calculation:
offset from the most stable computed form	0.040	eV per atom
total DFT energy (no corrections)	-8.563	eV per atom

Cell lengths 14.4800, 3.0159, 9.8747 Å; angles 90.00, 132.65, 90.00 degrees
Space group Cm (No. 8)
One atom of each set of equivalent atoms:
1 Ca 0.0000 0.0000 0.0000 x2
2 Ti 0.0379 0.0000 0.3598 x2
3 Ti 0.0497 0.5000 0.6964 x2
4 Ti 0.2366 0.0000 0.0651 x2
5 Ti 0.2478 0.5000 0.4135 x2
6 O 0.0364 0.5000 0.4896 x2
7 O 0.0441 0.5000 0.2152 x2
8 O 0.0937 0.5000 0.9460 x2
9 O 0.1750 0.0000 0.8207 x2
10 O 0.2216 0.0000 0.5183 x2
11 O 0.2290 0.0000 0.2589 x2
12 O 0.3540 0.5000 0.1551 x2
13 O 0.4261 0.5000 0.6061 x2



ZrSn2OF: optimized geometry, GGA-PBE.

Values from the calculation:
total DFT energy (no corrections)	-4.910	eV per atom

Cell lengths 5.6746, 5.6746, 4.1047 Å; angles 90.00, 90.00, 90.00 degrees
Space group P4/mmm (No. 123)
One atom of each set of equivalent atoms:
1 Zr 0.0000 0.0000 0.0000 x1
2 Sn 0.0000 0.5000 0.0000 x2
3 O 0.5000 0.5000 0.5000 x1
4 F 0.0000 0.0000 0.5000 x1



Hg5BiPb: optimized geometry, GGA-PBE.

Values from the calculation:
formation enthalpy at 0 K	0.10	eV/atom
total DFT energy (no corrections)	-1.202	eV per atom

Cell lengths 6.5601, 7.4687, 8.8674 Å; angles 90.00, 90.00, 90.00 degrees
Space group Imm2 (No. 44)
One atom of each set of equivalent atoms:
1 Hg 0.0000 0.0000 0.0000 x2
2 Hg 0.0000 0.2924 0.4272 x4
3 Hg 0.2242 0.5000 0.7684 x4
4 Bi 0.0000 0.5000 0.1299 x2
5 Pb 0.0000 0.0000 0.6594 x2



NaPrBr2: optimized geometry, GGA-PBE.

Values from the calculation:
offset from the most stable computed form	0.086	eV per atom
total DFT energy (no corrections)	-3.586	eV per atom

Cell lengths 3.8991, 3.8991, 30.7677 Å; angles 90.00, 90.00, 120.00 degrees
Space group R-3m (No. 166, hexagonal axes)
One atom of each set of equivalent atoms:
1 Na 0.0000 0.0000 0.0000 x3
2 Pr 0.0000 0.0000 0.5000 x3
3 Br 0.0000 0.0000 0.0993 x6